This record from Alexandria describes crystalline Cr3AgPb at its relaxed geometry. The functional is PBE.

Cell and atoms, written as extended XYZ:
```
5
Lattice="5.0283 0.0000 0.0000 0.0000 5.0283 0.0000 0.0000 0.0000 5.0283" Properties=species:S:1:pos:R:3 pbc="T T T"
Cr 0.0000 0.0000 2.5142
Cr 0.0000 2.5142 0.0000
Cr 2.5142 0.0000 0.0000
Ag 0.0000 0.0000 0.0000
Pb 2.5142 2.5142 2.5142
```

## Properties
Magnetic moment = 2.5955 μB per atom
SG = Pm-3m, No. 221
E above lowest polymorph = 0 meV per atom
ΔH_f (0 K) = 1327 meV/atom